(1)
4
Lattice="3.061 0.000 0.000 0.000 3.036 -0.006 0.000 3.044 7.712" Properties=species:S:1:pos:R:3 comment="LaReRu2 PBE-GGA relaxed" m_tot_mub_per_cell=0.0 spacegroup="Pmmm, No. 47" dft_energy_ev_per_atom=-8.846 pbc="T T T"
Re 1.531 4.560 5.780
Ru 0.000 3.040 4.253
Ru 0.000 3.045 7.313
La 1.531 1.520 1.927

(2)
7
Lattice="-2.458 4.569 -2.266 -5.644 0.304 -0.338 -2.949 5.115 6.438" Properties=species:S:1:pos:R:3 comment="Tb2SmDy2Ho2 PBE-GGA relaxed" m_tot_mub_per_cell=0.0 spacegroup="R-3m, No. 166" dft_energy_ev_per_atom=-4.475 pbc="T T T"
Dy -2.741 2.187 0.309
Dy -8.311 7.802 3.525
Tb -2.845 3.649 3.371
Tb -8.206 6.339 0.463
Sm 0.000 0.000 0.000
Ho -5.581 5.773 3.548
Ho -5.470 4.215 0.286

Number 1: energy of formation 0.136 eV per atom. Number 2: energy of formation 0.145 eV per atom.